# 1
! SCAN Mg2AlAg, single point on PBEsol structure; values from VASP
! Formation energy from the elements   -0.112 eV/atom
! VASP energy   -12.379 eV/atom
&SYSTEM
  ibrav = 0, nat = 4, ntyp = 3
/
ATOMIC_SPECIES
Al 26.98 Al.upf
Mg 24.30 Mg.upf
Ag 107.87 Ag.upf
CELL_PARAMETERS angstrom
2.995 0.000 0.000
0.000 5.098 -0.178
-1.497 -1.929 4.926
ATOMIC_POSITIONS angstrom
Al 0.000 3.178 2.122
Mg 1.497 2.904 4.642
Mg 1.497 0.599 2.574
Ag 1.497 2.206 0.070

---

# 2
! SCAN KNaTe3, single point on PBEsol structure; values from VASP
! Formation energy without anion corrections   -9.43 kJ per mole of atoms
! VASP energy   -24.957 eV/atom
&SYSTEM
  ibrav = 0, nat = 5, ntyp = 3
/
ATOMIC_SPECIES
Te 127.60 Te.upf
K 39.10 K.upf
Na 22.99 Na.upf
CELL_PARAMETERS angstrom
-0.029 4.522 3.264
-5.417 0.754 -1.093
-1.328 -3.176 4.388
ATOMIC_POSITIONS angstrom
Te -0.664 -1.588 2.194
Te -2.708 0.377 -0.547
Te -0.015 2.261 1.632
K -3.387 1.050 3.280
Na 0.000 0.000 0.000

---

# 3
! SCAN Li5Cr2Co3O10, single point on PBEsol structure; values from VASP
! Formation energy without anion corrections   -198.36 kJ per mole of atoms
! VASP energy   -10.203 eV/atom
&SYSTEM
  ibrav = 0, nat = 20, ntyp = 4
/
ATOMIC_SPECIES
O 16.00 O.upf
Cr 52.00 Cr.upf
Li 6.94 Li.upf
Co 58.93 Co.upf
CELL_PARAMETERS angstrom
-3.271 2.691 -2.490
1.596 -2.869 -3.687
-4.377 -4.008 4.616
ATOMIC_POSITIONS angstrom
O -4.146 -4.943 0.842
O -2.282 -0.532 -5.109
O -2.328 -2.754 1.028
O -3.102 -0.152 -0.221
O -3.723 -1.433 -2.590
O -0.992 -1.681 -1.234
O -1.906 0.757 -2.404
O -2.949 -4.035 -1.341
O -3.769 -3.654 3.547
O -5.060 -2.506 -0.328
Cr -2.272 -4.528 0.358
Cr -3.780 0.341 -1.920
Li -3.026 -2.093 -0.781
Li -4.322 -2.944 1.516
Li -1.730 -1.242 -3.077
Li -4.997 -0.519 0.452
Li -1.054 -3.668 -2.014
Co -4.786 -4.293 -0.899
Co -1.266 0.107 -0.663
Co 0.798 -1.435 -1.844

---

# 4
! SCAN Ta2PdF2, single point on PBEsol structure; values from VASP
! Formation energy without anion corrections   -28.23 kJ per mole of atoms
! VASP energy   -34.897 eV/atom
&SYSTEM
  ibrav = 0, nat = 5, ntyp = 3
/
ATOMIC_SPECIES
Ta 180.95 Ta.upf
F 19.00 F.upf
Pd 106.42 Pd.upf
CELL_PARAMETERS angstrom
4.117 0.000 0.000
0.000 4.148 0.000
0.000 0.000 4.148
ATOMIC_POSITIONS angstrom
Ta 0.000 2.074 0.000
Ta 0.000 0.000 2.074
F 0.000 0.000 0.000
F 2.059 0.000 0.000
Pd 2.059 2.074 2.074

---

# 5
! SCAN NiRu2Pt, single point on PBEsol structure; values from VASP
! Formation energy from the elements   0.162 eV/atom
! VASP energy   -38.843 eV/atom
&SYSTEM
  ibrav = 0, nat = 4, ntyp = 3
/
ATOMIC_SPECIES
Ni 58.69 Ni.upf
Pt 195.08 Pt.upf
Ru 101.07 Ru.upf
CELL_PARAMETERS angstrom
-2.492 0.281 0.878
-2.009 -1.135 -1.318
-0.621 -7.375 4.622
ATOMIC_POSITIONS angstrom
Ni -2.561 -4.115 2.092
Pt 0.000 0.000 0.000
Ru -3.855 -6.068 3.068
Ru -1.268 -2.161 1.115

---

# 6
! SCAN Zr3Be2, single point on PBEsol structure; values from VASP
! Formation energy from the elements   0.098 eV/atom
! VASP energy   -20.063 eV/atom
&SYSTEM
  ibrav = 0, nat = 5, ntyp = 2
/
ATOMIC_SPECIES
Be 9.01 Be.upf
Zr 91.22 Zr.upf
CELL_PARAMETERS angstrom
4.312 0.000 0.000
-2.156 3.734 0.000
0.000 0.000 5.394
ATOMIC_POSITIONS angstrom
Be 2.156 1.245 0.811
Be 0.000 2.490 4.583
Zr 0.000 2.490 1.881
Zr 2.156 1.245 3.513
Zr 0.000 0.000 0.000

---

# 7
! SCAN La3HRh, single point on PBEsol structure; values from VASP
! VASP energy   -33.449 eV/atom
&SYSTEM
  ibrav = 0, nat = 5, ntyp = 3
/
ATOMIC_SPECIES
La 138.91 La.upf
Rh 102.91 Rh.upf
H 1.01 H.upf
CELL_PARAMETERS angstrom
4.807 0.000 0.000
0.000 4.807 0.000
0.000 0.000 4.807
ATOMIC_POSITIONS angstrom
La 0.000 0.000 2.403
La 0.000 2.403 0.000
La 2.403 0.000 0.000
Rh 2.403 2.403 2.403
H 0.000 0.000 0.000

---

# 8
! SCAN AgPbAu2, single point on PBEsol structure; values from VASP
! Formation energy from the elements   -0.009 eV/atom
! VASP energy   -61.375 eV/atom
&SYSTEM
  ibrav = 0, nat = 4, ntyp = 3
/
ATOMIC_SPECIES
Ag 107.87 Ag.upf
Au 196.97 Au.upf
Pb 207.20 Pb.upf
CELL_PARAMETERS angstrom
3.482 0.000 0.000
0.000 3.482 0.000
0.000 0.000 6.465
ATOMIC_POSITIONS angstrom
Ag 1.741 1.741 3.232
Au 0.000 0.000 1.811
Au 0.000 0.000 4.653
Pb 1.741 1.741 0.000

---

# 9
! SCAN PmHoTl2, single point on PBEsol structure; values from VASP
! Formation energy from the elements   -0.554 eV/atom
! VASP energy   -59.977 eV/atom
&SYSTEM
  ibrav = 0, nat = 4, ntyp = 3
/
ATOMIC_SPECIES
Ho 164.93 Ho.upf
Tl 204.38 Tl.upf
Pm 145.00 Pm.upf
CELL_PARAMETERS angstrom
-4.190 -3.088 1.073
0.564 -4.244 3.149
-2.126 0.004 4.871
ATOMIC_POSITIONS angstrom
Ho -2.876 -3.664 4.546
Tl -4.314 -5.496 6.820
Tl -1.438 -1.832 2.273
Pm 0.000 0.000 0.000

---

# 10
! SCAN InAgTe3, single point on PBEsol structure; values from VASP
! Formation energy without anion corrections   63.11 kJ per mole of atoms
! VASP energy   -34.647 eV/atom
&SYSTEM
  ibrav = 0, nat = 5, ntyp = 3
/
ATOMIC_SPECIES
Te 127.60 Te.upf
In 114.82 In.upf
Ag 107.87 Ag.upf
CELL_PARAMETERS angstrom
-4.201 -3.108 -1.935
-0.284 -2.660 4.889
-3.651 3.784 1.847
ATOMIC_POSITIONS angstrom
Te -1.825 1.892 0.924
Te -2.101 -1.554 -0.968
Te -0.142 -1.330 2.444
In 0.000 0.000 0.000
Ag -4.068 -0.992 2.400

---

# 11
! SCAN Sb2Te3, single point on PBEsol structure; values from VASP
! Formation energy without anion corrections   -3.41 kJ per mole of atoms
! VASP energy   -37.290 eV/atom
&SYSTEM
  ibrav = 0, nat = 10, ntyp = 2
/
ATOMIC_SPECIES
Te 127.60 Te.upf
Sb 121.76 Sb.upf
CELL_PARAMETERS angstrom
4.240 0.000 0.000
-2.120 7.570 0.023
0.000 -0.834 9.616
ATOMIC_POSITIONS angstrom
Te 2.120 4.642 3.575
Te 0.000 5.929 6.062
Te 0.000 5.531 0.067
Te 2.120 0.807 3.578
Te 2.120 1.205 9.573
Te 0.000 2.094 6.064
Sb 0.000 -0.348 7.590
Sb 0.000 3.300 1.883
Sb 2.120 7.084 2.050
Sb 2.120 3.436 7.757

---

# 12
! SCAN BaF2, single point on PBEsol structure; values from VASP
! Formation energy without anion corrections   -394.22 kJ per mole of atoms
! VASP energy   -19.629 eV/atom
&SYSTEM
  ibrav = 0, nat = 12, ntyp = 2
/
ATOMIC_SPECIES
F 19.00 F.upf
Ba 137.33 Ba.upf
CELL_PARAMETERS angstrom
4.026 0.000 0.000
0.000 6.671 0.000
0.000 0.000 7.905
ATOMIC_POSITIONS angstrom
F 3.020 0.197 2.620
F 1.007 6.474 5.285
F 1.007 5.726 0.550
F 3.020 4.281 4.502
F 3.020 3.533 1.333
F 3.020 0.945 7.355
F 1.007 3.138 6.572
F 1.007 2.390 3.402
Ba 3.020 1.673 4.868
Ba 1.007 1.663 0.915
Ba 1.007 4.999 3.037
Ba 3.020 5.008 6.989

---

# 13
! SCAN ZrBeSi, single point on PBEsol structure; values from VASP
! Formation energy without anion corrections   -75.45 kJ per mole of atoms
! VASP energy   -15.805 eV/atom
&SYSTEM
  ibrav = 0, nat = 3, ntyp = 3
/
ATOMIC_SPECIES
Be 9.01 Be.upf
Si 28.09 Si.upf
Zr 91.22 Zr.upf
CELL_PARAMETERS angstrom
-1.352 -2.393 2.285
2.140 -2.643 -1.501
1.264 2.015 2.857
ATOMIC_POSITIONS angstrom
Be 0.000 0.000 0.000
Si 1.556 0.462 1.405
Zr 1.172 -2.287 1.094

---

# 14
! SCAN CaAu3F, single point on PBEsol structure; values from VASP
! Formation energy without anion corrections   62.14 kJ per mole of atoms
! VASP energy   -43.491 eV/atom
&SYSTEM
  ibrav = 0, nat = 5, ntyp = 3
/
ATOMIC_SPECIES
Au 196.97 Au.upf
Ca 40.08 Ca.upf
F 19.00 F.upf
CELL_PARAMETERS angstrom
5.324 0.000 0.000
0.000 5.324 0.000
0.000 0.000 5.324
ATOMIC_POSITIONS angstrom
Au 0.000 2.662 0.000
Au 0.000 0.000 2.662
Au 2.662 0.000 0.000
Ca 0.000 0.000 0.000
F 2.662 2.662 2.662

---

# 15
! SCAN Ba5Lu2ZrAl2O13, single point on PBEsol structure; values from VASP
! Formation energy without anion corrections   -334.04 kJ per mole of atoms
! VASP energy   -22.403 eV/atom
&SYSTEM
  ibrav = 0, nat = 46, ntyp = 5
/
ATOMIC_SPECIES
O 16.00 O.upf
Zr 91.22 Zr.upf
Ba 137.33 Ba.upf
Al 26.98 Al.upf
Lu 174.97 Lu.upf
CELL_PARAMETERS angstrom
5.900 0.000 0.000
-2.950 5.110 0.000
0.000 0.000 24.708
ATOMIC_POSITIONS angstrom
O 2.950 3.435 13.603
O 2.950 0.032 3.880
O 4.450 0.838 13.603
O 0.000 5.078 20.828
O 1.503 2.539 3.880
O 0.000 3.407 18.531
O 1.451 0.838 23.459
O 1.500 4.272 11.105
O 1.447 2.571 16.234
O 4.398 2.539 3.880
O 1.451 0.838 13.603
O 1.447 2.571 20.828
O 2.950 3.435 23.459
O -1.500 4.272 1.249
O 1.503 2.539 8.474
O -1.447 2.571 20.828
O 1.500 4.272 1.249
O 2.950 1.703 6.177
O 0.000 1.675 11.105
O 0.000 5.078 16.234
O 0.000 1.675 1.249
O 2.950 0.032 8.474
O 4.398 2.539 8.474
O -1.500 4.272 11.105
O -1.447 2.571 16.234
O 4.450 0.838 23.459
Zr 0.000 0.000 12.354
Zr 0.000 0.000 0.000
Ba 2.950 1.703 11.317
Ba 0.000 0.000 21.308
Ba 2.950 1.703 18.531
Ba 0.000 0.000 15.754
Ba 0.000 0.000 8.954
Ba 0.000 3.407 23.671
Ba 0.000 3.407 6.177
Ba 0.000 0.000 3.400
Ba 2.950 1.703 1.037
Ba 0.000 3.407 13.391
Al 2.950 1.703 4.448
Al 0.000 3.407 16.802
Al 0.000 3.407 20.260
Al 2.950 1.703 7.906
Lu 0.000 3.407 9.802
Lu 0.000 3.407 2.552
Lu 2.950 1.703 22.156
Lu 2.950 1.703 14.906

---

# 16
! SCAN BaZnBr2, single point on PBEsol structure; values from VASP
! Formation energy without anion corrections   -131.49 kJ per mole of atoms
! VASP energy   -24.359 eV/atom
&SYSTEM
  ibrav = 0, nat = 4, ntyp = 3
/
ATOMIC_SPECIES
Br 79.90 Br.upf
Ba 137.33 Ba.upf
Zn 65.41 Zn.upf
CELL_PARAMETERS angstrom
4.698 0.000 0.000
0.000 4.674 0.000
-2.349 -2.337 5.287
ATOMIC_POSITIONS angstrom
Br 2.349 2.338 5.287
Br 2.349 0.000 2.635
Ba 0.000 2.337 2.652
Zn 2.349 2.337 0.001

---

# 17
! SCAN ZrTe2Rh, single point on PBEsol structure; values from VASP
! Formation energy without anion corrections   -32.76 kJ per mole of atoms
! VASP energy   -35.083 eV/atom
&SYSTEM
  ibrav = 0, nat = 4, ntyp = 3
/
ATOMIC_SPECIES
Zr 91.22 Zr.upf
Te 127.60 Te.upf
Rh 102.91 Rh.upf
CELL_PARAMETERS angstrom
-0.735 1.621 3.629
-3.927 0.273 -0.917
1.580 -5.472 0.513
ATOMIC_POSITIONS angstrom
Zr -2.331 0.947 1.356
Te 0.000 0.000 0.000
Te -0.743 -1.452 2.749
Rh -2.339 -2.126 0.476

---

# 18
! SCAN ScCuNi4, single point on PBEsol structure; values from VASP
! Formation energy from the elements   -0.289 eV/atom
! VASP energy   -15.977 eV/atom
&SYSTEM
  ibrav = 0, nat = 6, ntyp = 3
/
ATOMIC_SPECIES
Ni 58.69 Ni.upf
Sc 44.96 Sc.upf
Cu 63.55 Cu.upf
CELL_PARAMETERS angstrom
-2.048 4.184 -0.396
-1.020 1.713 -4.229
-4.454 0.301 -1.389
ATOMIC_POSITIONS angstrom
Ni -5.055 2.471 -2.949
Ni -3.328 3.181 -4.377
Ni -3.845 4.423 -2.450
Ni -2.815 2.320 -2.251
Sc -5.641 4.648 -4.510
Cu 0.000 0.000 0.000

---

# 19
! SCAN Zr3Be, single point on PBEsol structure; values from VASP
! Formation energy from the elements   0.002 eV/atom
! VASP energy   -24.111 eV/atom
&SYSTEM
  ibrav = 0, nat = 4, ntyp = 2
/
ATOMIC_SPECIES
Zr 91.22 Zr.upf
Be 9.01 Be.upf
CELL_PARAMETERS angstrom
-2.135 2.252 -0.590
0.340 -0.491 -3.102
-5.510 -5.169 0.214
ATOMIC_POSITIONS angstrom
Zr -2.755 -2.584 0.107
Zr -2.049 -0.199 -1.801
Zr -5.256 -3.208 -1.677
Be 0.000 0.000 0.000

---

# 20
! SCAN Ca2YW, single point on PBEsol structure; values from VASP
! Formation energy from the elements   0.837 eV/atom
! VASP energy   -28.377 eV/atom
&SYSTEM
  ibrav = 0, nat = 4, ntyp = 3
/
ATOMIC_SPECIES
W 183.84 W.upf
Ca 40.08 Ca.upf
Y 88.91 Y.upf
CELL_PARAMETERS angstrom
3.076 0.015 0.000
-0.462 3.041 0.000
0.000 0.000 10.949
ATOMIC_POSITIONS angstrom
W 1.307 1.528 5.474
Ca 0.000 0.000 3.148
Ca 0.000 0.000 7.801
Y 1.307 1.528 0.000